# PrSmNiBr | Alexandria via LeMat-Bulk | PBE | optimized geometry
data_PrSmNiBr
_chemical_formula_sum 'Pr3 Sm3 Ni3 Br3'
_cell_length_a 4.0514
_cell_length_b 4.0514
_cell_length_c 23.3680
_cell_angle_alpha 90.00
_cell_angle_beta 90.00
_cell_angle_gamma 120.00
_symmetry_space_group_name_H-M 'P 1'
_symmetry_Int_Tables_number 1
loop_
_symmetry_equiv_pos_as_xyz
'x,y,z'
loop_
_atom_site_label
_atom_site_fract_x
_atom_site_fract_y
_atom_site_fract_z
Pr1 0.0000 0.0000 0.0000
Pr2 0.3333 0.6667 0.6667
Pr3 0.6667 0.3333 0.3333
Sm1 0.0000 0.0000 0.7950
Sm2 0.3333 0.6667 0.4617
Sm3 0.6667 0.3333 0.1284
Ni1 0.0000 0.0000 0.3990
Ni2 0.3333 0.6667 0.0657
Ni3 0.6667 0.3333 0.7324
Br1 0.0000 0.0000 0.2278
Br2 0.3333 0.6667 0.8944
Br3 0.6667 0.3333 0.5611
# SG: R3m (160)
# Formation energy without anion corrections, eV/atom: -0.791



# RbSr2Cu2 | Alexandria via LeMat-Bulk | PBE | optimized geometry
data_RbSr2Cu2
_chemical_formula_sum 'Rb2 Sr4 Cu4'
_cell_length_a 8.7739
_cell_length_b 8.7739
_cell_length_c 4.4712
_cell_angle_alpha 90.00
_cell_angle_beta 90.00
_cell_angle_gamma 90.00
_symmetry_space_group_name_H-M 'P 1'
_symmetry_Int_Tables_number 1
loop_
_symmetry_equiv_pos_as_xyz
'x,y,z'
loop_
_atom_site_label
_atom_site_fract_x
_atom_site_fract_y
_atom_site_fract_z
Rb1 0.0000 0.0000 0.0000
Rb2 0.5000 0.5000 0.0000
Sr1 0.1597 0.3403 0.5000
Sr2 0.3403 0.8403 0.5000
Sr3 0.6597 0.1597 0.5000
Sr4 0.8403 0.6597 0.5000
Cu1 0.1010 0.6010 0.0000
Cu2 0.3990 0.1010 0.0000
Cu3 0.6010 0.8990 0.0000
Cu4 0.8990 0.3990 0.0000
# Calculated formation energy, kcal/mol of atoms: 2.9
# SG: P4/mbm (127)